First-principles (PBE) data for crystalline OsAu3F at its relaxed geometry, as listed in the Alexandria database.

Structure (POSCAR):
```
OsAu3F
1.0
-2.590 -3.886 1.853
-1.306 -1.351 -4.659
4.102 -2.884 -0.314
Au F Os
3 1 1
direct
0.000 0.000 0.500
0.000 0.500 0.000
0.500 0.000 0.000
0.500 0.500 0.500
0.000 0.000 0.000
```

Size of the total moment ... 1.2 μB per formula unit
Formation energy without anion corrections ... 1173 meV per atom